# 1
First-principles (PBE) data for a relaxed RbLiTe2 crystal, as listed in the Alexandria database.

Cell: 5.525 6.906 11.432 Å, 117.04 116.22 60.93°
Element x y z (fractional)
Li (0.433, 0.520, 0.689)
Li (0.939, 0.275, 0.563)
Te (0.328, 0.349, 0.381)
Te (0.917, 0.675, 0.782)
Te (0.861, 0.176, 0.296)
Te (0.442, 0.175, 0.765)
Rb (0.133, 0.223, 0.004)
Rb (0.607, 0.801, 0.437)

energy: -3.037 eV per atom
SG: P1
energy above the most stable polymorph in this dataset: 47 meV per atom

=====

# 2
First-principles (PBE) data for a relaxed RbLi3Te crystal, as listed in the Alexandria database.

Cell: 5.525 5.525 5.525 Å, 90.00 90.00 90.00°
Element x y z (fractional)
Rb (0.500, 0.500, 0.500)
Li (0.500, 0.000, 0.000)
Li (0.000, 0.000, 0.500)
Li (0.000, 0.500, 0.000)
Te (0.000, 0.000, 0.000)

energy: -2.341 eV per atom
SG: Pm-3m
energy above the most stable polymorph in this dataset: 0 meV per atom

=====

# 3
First-principles (PBE) data for a relaxed RbLiTe2 crystal, as listed in the Alexandria database.

Cell: 9.887 7.569 8.386 Å, 90.00 90.00 90.00°
Element x y z (fractional)
Rb (0.309, 0.366, 0.500)
Rb (0.809, 0.134, 0.500)
Rb (0.191, 0.866, 0.000)
Rb (0.691, 0.634, 0.000)
Te (0.500, 0.000, 0.250)
Te (0.582, 0.716, 0.500)
Te (0.918, 0.216, 0.000)
Te (0.500, 0.000, 0.750)
Te (0.000, 0.500, 0.250)
Te (0.082, 0.784, 0.500)
Te (0.418, 0.284, 0.000)
Te (0.000, 0.500, 0.750)
Li (0.842, 0.618, 0.500)
Li (0.158, 0.382, 0.000)
Li (0.342, 0.882, 0.500)
Li (0.658, 0.118, 0.000)

energy: -3.056 eV per atom
SG: Pnma
energy above the most stable polymorph in this dataset: 28 meV per atom

=====

Q: The lowest energy above the most stable polymorph in this dataset belongs to which entry?
A: RbLi3Te